[1]
Crystalline TmGePd at its relaxed geometry. Source: OQMD via LeMat-Bulk, functional PBE.

Computed properties:
V, A^3/atom: 23.3
Total DFT energy (no corrections), eV per cell: -15.00

Unit cell a=4.6255 b=4.6255 c=4.6255 alpha=60.00 beta=60.00 gamma=60.00
With the nearest neighbours (Å) after each atom.
Element x y z (fractional)
Ge (0.2500, 0.2500, 0.2500)  4 Tm 2.83
Pd (0.7500, 0.7500, 0.7500)  4 Tm 2.83
Tm (0.0000, 0.0000, 0.0000)  4 Ge 2.83, 4 Pd 2.83

***

[2]
Crystalline TmGe4Pd6 at its relaxed geometry. Source: OQMD via LeMat-Bulk, functional PBE.

Computed properties:
V, A^3/atom: 16.7
Total DFT energy (no corrections), eV per cell: -61.34

Unit cell a=7.4300 b=7.4300 c=3.8375 alpha=90.00 beta=90.00 gamma=120.00
With the nearest neighbours (Å) after each atom.
Element x y z (fractional)
Ge (0.3333, 0.6667, 0.0000)  9 Pd 2.60
Ge (0.3771, 0.1885, 0.5000)  6 Pd 2.48-2.62
Ge (0.8115, 0.1885, 0.5000)  6 Pd 2.48-2.62
Ge (0.8115, 0.6229, 0.5000)  6 Pd 2.48-2.62
Pd (0.5352, 0.0705, 0.0000)  5 Ge 2.60-2.62
Pd (0.5352, 0.4648, 0.0000)  5 Ge 2.60-2.62
Pd (0.9295, 0.4648, 0.0000)  5 Ge 2.60-2.62
Pd (0.1966, 0.3932, 0.5000)  4 Ge 2.48-2.60
Pd (0.1966, 0.8034, 0.5000)  4 Ge 2.48-2.60
Pd (0.6068, 0.8034, 0.5000)  4 Ge 2.48-2.60
Tm (0.0000, 0.0000, 0.0000)  6 Ge 3.09, 6 Pd 3.18

***

[3]
Crystalline YTm2Ge4Pd4 at its relaxed geometry. Source: OQMD via LeMat-Bulk, functional PBE.

Computed properties:
V, A^3/atom: 18.7
Total DFT energy (no corrections), eV per cell: -64.69

Unit cell a=8.0846 b=8.0846 c=8.0846 alpha=150.27 beta=127.73 gamma=61.29
With the nearest neighbours (Å) after each atom.
Element x y z (fractional)
Ge (0.2188, 0.2188, 0.0000)  6 Pd 2.59
Ge (0.7812, 0.7812, 0.0000)  6 Pd 2.59
Ge (0.6864, 0.5000, 0.1864)  2 Pd 2.56, 1 Ge 2.66
Ge (0.3136, 0.5000, 0.8136)  2 Pd 2.56, 1 Ge 2.66
Pd (0.6232, 0.3248, 0.2984)  4 Ge 2.56-2.59, 1 Pd 2.87
Pd (0.9736, 0.6752, 0.2984)  4 Ge 2.56-2.59, 1 Pd 2.87
Pd (0.0264, 0.3248, 0.7016)  4 Ge 2.56-2.59, 1 Pd 2.87
Pd (0.3768, 0.6752, 0.7016)  4 Ge 2.56-2.59, 1 Pd 2.87
Tm (0.6258, 0.1258, 0.5000)  6 Ge 3.00-3.02, 6 Pd 3.05-3.12
Tm (0.3742, 0.8742, 0.5000)  6 Ge 3.00-3.02, 6 Pd 3.05-3.12
Y (0.0000, 0.0000, 0.0000)  6 Ge 3.04-3.05

***

[4]
Crystalline Y2GePd at its relaxed geometry. Source: OQMD via LeMat-Bulk, functional PBE.

Computed properties:
V, A^3/atom: 23.0
Total DFT energy (no corrections), eV per cell: -26.35

Unit cell a=4.2671 b=5.7964 c=5.7964 alpha=39.89 beta=90.00 gamma=90.00
With the nearest neighbours (Å) after each atom.
Element x y z (fractional)
Ge (0.5000, 0.0812, 0.0812)  2 Pd 2.77, 5 Y 2.98-3.04
Pd (0.0000, 0.9191, 0.9191)  2 Ge 2.77, 5 Y 2.98-3.05
Y (0.5000, 0.3603, 0.3603)  4 Pd 2.98, 3 Ge 3.04-3.12
Y (0.0000, 0.6394, 0.6394)  4 Ge 2.98, 3 Pd 3.05-3.11